Entry 1:
PBE KZr2Rh, relaxed; E_form = 199 meV per atom; energy = -24.75 eV for the cell shown; distance to the lowest polymorph of the same formula = 17.6 kJ per mole of atoms; symmetry = Imm2 (44); N(E_F) = 3.50 states/eV/cell
1.0
-7.423 -5.646 3.152
-4.024 -5.688 6.955
4.755 7.705 -3.865
Zr Rh K
2 1 1
Cartesian
-1.240 -1.227 1.095
-4.187 -1.796 2.163
-1.997 -1.330 3.631
-4.992 -4.943 4.408


Entry 2:
PBE MgSc2As, relaxed; E_form = -294 meV per atom; energy = -40.16 eV for the cell shown; symmetry = I-42d (122); N(E_F) = 4.76 states/eV/cell
1.0
7.743 0.000 0.000
0.000 7.743 0.000
3.872 3.872 3.112
Mg Sc As
2 4 2
Cartesian
3.872 3.872 0.000
3.872 7.743 1.556
5.807 5.498 2.334
6.116 1.936 0.778
1.627 5.807 0.778
9.679 9.988 2.334
0.000 0.000 0.000
7.743 3.872 1.556


Entry 3:
PBE ZrAsBr2, relaxed; energy = -19.70 eV for the cell shown; distance to the lowest polymorph of the same formula = 3.6 kJ per mole of atoms; symmetry = Cm (8); N(E_F) = 3.17 states/eV/cell
1.0
-2.650 -3.983 2.466
0.719 -4.830 2.263
0.661 0.794 7.686
Br Zr As
2 1 1
Cartesian
-1.842 -8.632 5.442
-1.192 -6.884 8.968
-0.685 -3.958 5.167
-0.117 -1.368 3.776